# 1
Compound: Sm5SbTe4
Source: Alexandria
Functional: GGA-PBE
Structure: relaxed

Geometry as POSCAR:
```
Sm5SbTe4
1.0
-2.225 2.225 15.740
2.225 -2.225 15.740
2.225 2.225 -15.740
Sm Sb Te
5 1 4
Cartesian
0.000 0.000 0.000
0.000 0.000 6.359
0.000 0.000 12.660
0.000 0.000 18.820
0.000 0.000 25.121
0.000 0.000 15.740
0.000 0.000 3.177
0.000 0.000 9.489
0.000 0.000 21.991
0.000 0.000 28.303
```

Output
Density: 7.37 Mg/m³
Crystal system: tetragonal
Formation energy without anion corrections: -31.4 kcal/mol of atoms
M_tot: 0.00 Bohr magnetons per cell

---

# 2
Compound: LiCe2Sm
Source: Alexandria
Functional: GGA-PBE
Structure: relaxed

Geometry as POSCAR:
```
LiCe2Sm
1.0
1.647 0.951 12.425
-1.647 0.951 12.425
0.000 -1.902 12.425
Li Ce Sm
1 2 1
Cartesian
0.000 0.000 0.000
0.000 0.000 3.216
0.000 0.000 34.058
0.000 0.000 18.637
```

Output
Density: 6.22 Mg/m³
Formation energy from the elements: 1.03 eV/f.u.
Crystal system: trigonal
M_tot: 1.74 Bohr magnetons per cell
Distance to the lowest polymorph of the same formula: 45.4 meV per atom

---

# 3
Compound: Na2InHg5
Source: Alexandria
Functional: GGA-PBE
Structure: relaxed

Geometry as POSCAR:
```
Na2InHg5
1.0
6.589 0.000 0.000
0.000 12.922 0.000
0.000 0.000 4.813
Na In Hg
4 2 10
Cartesian
1.431 1.726 0.000
1.864 8.187 0.000
4.725 4.735 0.000
5.158 11.197 0.000
0.000 6.461 2.407
3.294 0.000 2.407
0.000 0.000 2.407
0.262 9.685 2.407
1.483 4.940 0.000
1.812 11.401 0.000
3.032 3.223 2.407
3.294 6.461 2.407
3.557 9.699 2.407
4.777 1.521 0.000
5.106 7.982 0.000
6.326 3.238 2.407
```

Output
Density: 9.43 Mg/m³
Formation energy from the elements: -1.29 eV/f.u.
Crystal system: orthorhombic
M_tot: 0.00 Bohr magnetons per cell